Material: SrReTe2Os
Method: DFT, GGA-PBE
State: optimized geometry

a = 5.108 Å, b = 5.108 Å, c = 6.062 Å
α = 90.00°, β = 90.00°, γ = 90.00°
Space group P4/mmm (No. 123)
One atom of each set of equivalent atoms:
Sr: 0.000 0.000 0.000
Re: 0.000 0.000 0.500
Te: 0.000 0.500 0.500
Os: 0.500 0.500 0.000

## Properties
As for the magnetization: 2.92 μB/f.u. Its raw formation energy is 1402 meV per atom. For the density of states at the Fermi level, the calculation gives 1.18 states/eV per atom.